# 1
Material: V3Hg2I8
Method: DFT, PBE
State: optimized geometry

POSCAR file:
```
V3Hg2I8
1.0
6.9490 0.4733 -0.9764
-0.9603 7.4216 -3.2367
1.3689 0.3577 10.6833
Hg I V
2 8 3
Direct
0.4942 0.2527 0.5054
0.5058 0.7473 0.4946
0.1652 0.9212 0.8425
0.3282 0.8391 0.1541
0.1360 0.4176 0.8353
0.6718 0.1609 0.8459
0.8348 0.0788 0.1575
0.8640 0.5824 0.1647
0.6718 0.6850 0.8459
0.3282 0.3150 0.1541
0.0000 0.2572 0.0000
0.0000 0.7428 0.0000
0.5000 0.0000 0.0000
```

Properties
symmetry = No. 12



# 2
Material: Li2TmSc3Se6
Method: DFT, PBE
State: optimized geometry

POSCAR file:
```
Li2TmSc3Se6
1.0
-1.5470 -6.4527 1.0235
3.7799 3.2951 4.4645
-6.0670 2.8363 1.3574
Li Sc Se Tm
2 3 6 1
Direct
0.6677 0.3323 0.0000
0.3323 0.6677 0.0000
0.5000 0.5000 0.5000
0.1657 0.8343 0.5000
0.8343 0.1657 0.5000
0.7458 0.7458 0.2532
0.2542 0.2542 0.7468
0.0844 0.4228 0.2533
0.9156 0.5772 0.7467
0.5772 0.9156 0.7467
0.4228 0.0844 0.2533
0.0000 0.0000 0.0000
```

Properties
symmetry = No. 12



| no. | ΔE_f (raw) (meV/atom) | size of the total moment (μB/atom) |
| --- | --- | --- |
| 1 | -383 | 0.54 |
| 2 | -1643 | 0.00 |